No. 1
Here is a relaxed KCo2Ag crystal from the Alexandria database. Energies are from PBEsol.

abc: 3.8664 3.8664 9.0637
angles: 90.00 90.00 90.00
Atoms (fractional coordinates):
K (0.0000, 0.0000, 0.0000)
K (0.5000, 0.5000, 0.5000)
Co (0.0000, 0.5000, 0.2500)
Co (0.0000, 0.5000, 0.7500)
Co (0.5000, 0.0000, 0.2500)
Co (0.5000, 0.0000, 0.7500)
Ag (0.0000, 0.0000, 0.5000)
Ag (0.5000, 0.5000, 0.0000)

Output
Space group   I4/mmm (139)
Excess energy over the best structure of this formula in the dataset   220 meV per atom
V   135.5 Å³ per cell
Density   6.49 g cm⁻³
DFT formation energy   1.2241 eV per atom
D(E_F)   10.040 states/eV per cell

No. 2
Here is a relaxed KCoAgP2 crystal from the Alexandria database. Energies are from PBEsol.

abc: 5.1001 5.1001 4.9473
angles: 90.00 90.00 90.00
Atoms (fractional coordinates):
K (0.0000, 0.0000, 0.0000)
Co (0.5000, 0.5000, 0.5000)
Ag (0.0000, 0.0000, 0.5000)
P (0.0000, 0.5000, 0.0000)
P (0.5000, 0.0000, 0.0000)

Output
Space group   P4/mmm (123)
V   128.7 Å³ per cell
Density   3.46 g cm⁻³
DFT formation energy   2.3095 eV per atom
D(E_F)   5.663 states/eV per cell

No. 3
Here is a relaxed LaCo2Ag crystal from the Alexandria database. Energies are from PBEsol.

abc: 4.3493 4.3493 13.6245
angles: 90.00 90.00 120.00
Atoms (fractional coordinates):
La (0.0000, 0.0000, 0.0000)
La (0.3333, 0.6667, 0.6667)
La (0.6667, 0.3333, 0.3333)
Co (0.0000, 0.0000, 0.1756)
Co (0.0000, 0.0000, 0.8244)
Co (0.3333, 0.6667, 0.4911)
Co (0.3333, 0.6667, 0.8422)
Co (0.6667, 0.3333, 0.1578)
Co (0.6667, 0.3333, 0.5089)
Ag (0.0000, 0.0000, 0.5000)
Ag (0.3333, 0.6667, 0.1667)
Ag (0.6667, 0.3333, 0.8333)

Output
Space group   R-3m (166)
V   223.2 Å³ per cell
Density   8.14 g cm⁻³
DFT formation energy   0.0863 eV per atom
D(E_F)   9.772 states/eV per cell

No. 4
Here is a relaxed LaCoAg crystal from the Alexandria database. Energies are from PBEsol.

abc: 6.5682 6.5682 6.5682
angles: 90.00 90.00 90.00
Atoms (fractional coordinates):
La (0.0000, 0.0000, 0.0000)
La (0.0000, 0.5000, 0.5000)
La (0.5000, 0.0000, 0.5000)
La (0.5000, 0.5000, 0.0000)
Co (0.0000, 0.0000, 0.5000)
Co (0.0000, 0.5000, 0.0000)
Co (0.5000, 0.0000, 0.0000)
Co (0.5000, 0.5000, 0.5000)
Ag (0.2500, 0.2500, 0.7500)
Ag (0.2500, 0.7500, 0.2500)
Ag (0.7500, 0.2500, 0.2500)
Ag (0.7500, 0.7500, 0.7500)

Output
Space group   F-43m (216)
V   283.4 Å³ per cell
Density   7.17 g cm⁻³
DFT formation energy   0.5188 eV per atom
D(E_F)   20.975 states/eV per cell